Here is an optimized crystal structure of BaAc3Ge from Alexandria via LeMat-Bulk. Energies are from PBE.

Summary:
Raw total energy ... -3.8816 eV/atom

```
data_BaAc3Ge
_chemical_formula_sum 'Ba1 Ac3 Ge1'
_space_group_name_H-M_alt 'P m -3 m'
_space_group_IT_number 221
_space_group_name_Hall '-P 4 2 3'
_cell_length_a 6.2182
_cell_length_b 6.2182
_cell_length_c 6.2182
_cell_angle_alpha 90.00
_cell_angle_beta 90.00
_cell_angle_gamma 90.00
loop_
_atom_site_label
_atom_site_type_symbol
_atom_site_fract_x
_atom_site_fract_y
_atom_site_fract_z
Ba1 Ba 0.0000 0.0000 0.0000
Ac1 Ac 0.0000 0.5000 0.5000
Ge1 Ge 0.5000 0.5000 0.5000
```


Here is an optimized crystal structure of BaAc2Ge6 from Alexandria via LeMat-Bulk. Energies are from PBE.

Summary:
Polymorph energy (0 for the lowest one) ... 0.0000 eV per atom
Raw total energy ... -4.6658 eV/atom

```
data_BaAc2Ge6
_chemical_formula_sum 'Ba2 Ac4 Ge12'
_space_group_name_H-M_alt 'I m m m'
_space_group_IT_number 71
_space_group_name_Hall '-I 2 2'
_cell_length_a 4.7564
_cell_length_b 7.1848
_cell_length_c 15.3095
_cell_angle_alpha 90.00
_cell_angle_beta 90.00
_cell_angle_gamma 90.00
loop_
_atom_site_label
_atom_site_type_symbol
_atom_site_fract_x
_atom_site_fract_y
_atom_site_fract_z
Ba1 Ba 0.0000 0.0000 0.0000
Ac1 Ac 0.0000 0.5000 0.1611
Ge1 Ge 0.0000 0.1709 0.5000
Ge2 Ge 0.0000 0.3199 0.3531
```


Here is an optimized crystal structure of Ba2AcGe from Alexandria via LeMat-Bulk. Energies are from PBE.

Summary:
Raw total energy ... -3.0996 eV/atom

```
data_Ba2AcGe
_chemical_formula_sum 'Ba6 Ac3 Ge3'
_space_group_name_H-M_alt 'R -3 m'
_space_group_IT_number 166
_space_group_name_Hall '-R 3 2"'
_cell_length_a 4.1634
_cell_length_b 4.1634
_cell_length_c 37.4755
_cell_angle_alpha 90.00
_cell_angle_beta 90.00
_cell_angle_gamma 120.00
loop_
_atom_site_label
_atom_site_type_symbol
_atom_site_fract_x
_atom_site_fract_y
_atom_site_fract_z
Ba1 Ba 0.0000 0.0000 0.1075
Ac1 Ac 0.0000 0.0000 0.0000
Ge1 Ge 0.0000 0.0000 0.5000
```


Here is an optimized crystal structure of Ba3AcGe4 from Alexandria via LeMat-Bulk. Energies are from PBE.

Summary:
Raw total energy ... -3.9672 eV/atom

```
data_Ba3AcGe4
_chemical_formula_sum 'Ba6 Ac2 Ge8'
_space_group_name_H-M_alt 'I m m m'
_space_group_IT_number 71
_space_group_name_Hall '-I 2 2'
_cell_length_a 4.8036
_cell_length_b 6.8565
_cell_length_c 18.3293
_cell_angle_alpha 90.00
_cell_angle_beta 90.00
_cell_angle_gamma 90.00
loop_
_atom_site_label
_atom_site_type_symbol
_atom_site_fract_x
_atom_site_fract_y
_atom_site_fract_z
Ba1 Ba 0.0000 0.0000 0.0000
Ba2 Ba 0.0000 0.5000 0.1945
Ac1 Ac 0.0000 0.0000 0.5000
Ge1 Ge 0.0000 0.3248 0.3742
```


Here is an optimized crystal structure of BaAc5Ge2 from Alexandria via LeMat-Bulk. Energies are from PBE.

Summary:
Raw total energy ... -4.1898 eV/atom

```
data_BaAc5Ge2
_chemical_formula_sum 'Ba2 Ac10 Ge4'
_space_group_name_H-M_alt 'I m m m'
_space_group_IT_number 71
_space_group_name_Hall '-I 2 2'
_cell_length_a 5.0230
_cell_length_b 10.0075
_cell_length_c 12.6400
_cell_angle_alpha 90.00
_cell_angle_beta 90.00
_cell_angle_gamma 90.00
loop_
_atom_site_label
_atom_site_type_symbol
_atom_site_fract_x
_atom_site_fract_y
_atom_site_fract_z
Ba1 Ba 0.0000 0.0000 0.0000
Ac1 Ac 0.0000 0.1958 0.3414
Ac2 Ac 0.0000 0.5000 0.0000
Ge1 Ge 0.0000 0.5000 0.2643
```


Here is an optimized crystal structure of Ba2Ac2Ge3 from Alexandria via LeMat-Bulk. Energies are from PBE.

Summary:
Raw total energy ... -4.1864 eV/atom

```
data_Ba2Ac2Ge3
_chemical_formula_sum 'Ba4 Ac4 Ge6'
_space_group_name_H-M_alt 'C 1 2/m 1'
_space_group_IT_number 12
_cell_length_a 14.3392
_cell_length_b 4.3646
_cell_length_c 9.2016
_cell_angle_alpha 90.00
_cell_angle_beta 120.83
_cell_angle_gamma 90.00
loop_
_space_group_symop_operation_xyz
'x,y,z'
'-x,-y,-z'
'-x,y,-z'
'x,-y,z'
'x+1/2,y+1/2,z'
'-x+1/2,-y+1/2,-z'
'-x+1/2,y+1/2,-z'
'x+1/2,-y+1/2,z'
loop_
_atom_site_label
_atom_site_type_symbol
_atom_site_fract_x
_atom_site_fract_y
_atom_site_fract_z
Ba1 Ba 0.1119 0.0000 0.2913
Ac1 Ac 0.1515 0.0000 0.7821
Ge1 Ge 0.0000 0.5000 0.5000
Ge2 Ge 0.0903 0.5000 0.0008
```


Here is an optimized crystal structure of Ba2AcGe2 from Alexandria via LeMat-Bulk. Energies are from PBE.

Summary:
Raw total energy ... -3.9361 eV/atom

```
data_Ba2AcGe2
_chemical_formula_sum 'Ba8 Ac4 Ge8'
_space_group_name_H-M_alt 'C 1 2/c 1'
_space_group_IT_number 15
_cell_length_a 12.2893
_cell_length_b 7.0935
_cell_length_c 8.8968
_cell_angle_alpha 90.00
_cell_angle_beta 102.82
_cell_angle_gamma 90.00
loop_
_space_group_symop_operation_xyz
'x,y,z'
'-x,-y,-z'
'-x,y,-z+1/2'
'x,-y,z+1/2'
'x+1/2,y+1/2,z'
'-x+1/2,-y+1/2,-z'
'-x+1/2,y+1/2,-z+1/2'
'x+1/2,-y+1/2,z+1/2'
loop_
_atom_site_label
_atom_site_type_symbol
_atom_site_fract_x
_atom_site_fract_y
_atom_site_fract_z
Ba1 Ba 0.1538 0.1159 0.1502
Ac1 Ac 0.0000 0.4135 0.7500
Ge1 Ge 0.1559 0.3402 0.5089
```


Here is an optimized crystal structure of Ba2Ac3Ge2 from Alexandria via LeMat-Bulk. Energies are from PBE.

Summary:
Raw total energy ... -4.0005 eV/atom

```
data_Ba2Ac3Ge2
_chemical_formula_sum 'Ba4 Ac6 Ge4'
_space_group_name_H-M_alt 'C 1 2/m 1'
_space_group_IT_number 12
_cell_length_a 13.8299
_cell_length_b 4.6193
_cell_length_c 9.6913
_cell_angle_alpha 90.00
_cell_angle_beta 114.59
_cell_angle_gamma 90.00
loop_
_space_group_symop_operation_xyz
'x,y,z'
'-x,-y,-z'
'-x,y,-z'
'x,-y,z'
'x+1/2,y+1/2,z'
'-x+1/2,-y+1/2,-z'
'-x+1/2,y+1/2,-z'
'x+1/2,-y+1/2,z'
loop_
_atom_site_label
_atom_site_type_symbol
_atom_site_fract_x
_atom_site_fract_y
_atom_site_fract_z
Ba1 Ba 0.1613 0.0000 0.3067
Ac1 Ac 0.0000 0.5000 0.5000
Ac2 Ac 0.1300 0.5000 0.9372
Ge1 Ge 0.1597 0.0000 0.7228
```


Here is an optimized crystal structure of BaAc2Ge2 from Alexandria via LeMat-Bulk. Energies are from PBE.

Summary:
Raw total energy ... -4.0562 eV/atom

```
data_BaAc2Ge2
_chemical_formula_sum 'Ba2 Ac4 Ge4'
_space_group_name_H-M_alt 'I 4/m m m'
_space_group_IT_number 139
_space_group_name_Hall '-I 4 2'
_cell_length_a 5.9491
_cell_length_b 5.9491
_cell_length_c 16.9453
_cell_angle_alpha 90.00
_cell_angle_beta 90.00
_cell_angle_gamma 90.00
loop_
_atom_site_label
_atom_site_type_symbol
_atom_site_fract_x
_atom_site_fract_y
_atom_site_fract_z
Ba1 Ba 0.0000 0.0000 0.0000
Ac1 Ac 0.0000 0.5000 0.2500
Ge1 Ge 0.0000 0.0000 0.1858
```


Here is an optimized crystal structure of BaAcGe3 from Alexandria via LeMat-Bulk. Energies are from PBE.

Summary:
Raw total energy ... -4.5645 eV/atom

```
data_BaAcGe3
_chemical_formula_sum 'Ba4 Ac4 Ge12'
_space_group_name_H-M_alt 'C m c m'
_space_group_IT_number 63
_space_group_name_Hall '-C 2c 2'
_cell_length_a 4.9216
_cell_length_b 27.7081
_cell_length_c 4.3552
_cell_angle_alpha 90.00
_cell_angle_beta 90.00
_cell_angle_gamma 90.00
loop_
_atom_site_label
_atom_site_type_symbol
_atom_site_fract_x
_atom_site_fract_y
_atom_site_fract_z
Ba1 Ba 0.0000 0.0725 0.2500
Ac1 Ac 0.0000 0.2005 0.7500
Ge1 Ge 0.0000 0.3182 0.7500
Ge2 Ge 0.0000 0.3770 0.2500
Ge3 Ge 0.0000 0.4754 0.2500
```


Here is an optimized crystal structure of BaAc3Ge2 from Alexandria via LeMat-Bulk. Energies are from PBE.

Summary:
Raw total energy ... -4.2688 eV/atom

```
data_BaAc3Ge2
_chemical_formula_sum 'Ba4 Ac12 Ge8'
_space_group_name_H-M_alt 'C 1 2/m 1'
_space_group_IT_number 12
_cell_length_a 18.0301
_cell_length_b 5.7511
_cell_length_c 9.8249
_cell_angle_alpha 90.00
_cell_angle_beta 117.28
_cell_angle_gamma 90.00
loop_
_space_group_symop_operation_xyz
'x,y,z'
'-x,-y,-z'
'-x,y,-z'
'x,-y,z'
'x+1/2,y+1/2,z'
'-x+1/2,-y+1/2,-z'
'-x+1/2,y+1/2,-z'
'x+1/2,-y+1/2,z'
loop_
_atom_site_label
_atom_site_type_symbol
_atom_site_fract_x
_atom_site_fract_y
_atom_site_fract_z
Ba1 Ba 0.1216 0.0000 0.1877
Ac1 Ac 0.0661 0.0000 0.7177
Ac2 Ac 0.1409 0.5000 0.4886
Ac3 Ac 0.1873 0.5000 0.0319
Ge1 Ge 0.0082 0.5000 0.1396
Ge2 Ge 0.2094 0.0000 0.6085
```


Here is an optimized crystal structure of BaAcGeI from Alexandria via LeMat-Bulk. Energies are from PBE.

Summary:
Polymorph energy (0 for the lowest one) ... 0.2453 eV per atom
Raw total energy ... -3.8239 eV/atom
Formation energy from raw total energies ... -774.2 meV per atom

```
data_BaAcGeI
_chemical_formula_sum 'Ba4 Ac4 Ge4 I4'
_space_group_name_H-M_alt 'F -4 3 m'
_space_group_IT_number 216
_space_group_name_Hall 'F -4 2 3'
_cell_length_a 8.2214
_cell_length_b 8.2214
_cell_length_c 8.2214
_cell_angle_alpha 90.00
_cell_angle_beta 90.00
_cell_angle_gamma 90.00
loop_
_atom_site_label
_atom_site_type_symbol
_atom_site_fract_x
_atom_site_fract_y
_atom_site_fract_z
Ba1 Ba 0.0000 0.0000 0.0000
Ac1 Ac 0.0000 0.0000 0.5000
Ge1 Ge 0.2500 0.2500 0.2500
I1 I 0.2500 0.2500 0.7500
```


Here is an optimized crystal structure of BaAcGeI from Alexandria via LeMat-Bulk. Energies are from PBE.

Summary:
Polymorph energy (0 for the lowest one) ... 0.0000 eV per atom
Raw total energy ... -4.0691 eV/atom
Formation energy from raw total energies ... -1019.5 meV per atom

```
data_BaAcGeI
_chemical_formula_sum 'Ba3 Ac3 Ge3 I3'
_space_group_name_H-M_alt 'R 3 m'
_space_group_IT_number 160
_space_group_name_Hall 'R 3 -2"'
_cell_length_a 4.7439
_cell_length_b 4.7439
_cell_length_c 25.5386
_cell_angle_alpha 90.00
_cell_angle_beta 90.00
_cell_angle_gamma 120.00
loop_
_atom_site_label
_atom_site_type_symbol
_atom_site_fract_x
_atom_site_fract_y
_atom_site_fract_z
Ba1 Ba 0.0000 0.0000 0.0000
Ac1 Ac 0.0000 0.0000 0.2001
Ge1 Ge 0.0000 0.0000 0.5917
I1 I 0.0000 0.0000 0.7700
```


Here is an optimized crystal structure of BaAcInGe from Alexandria via LeMat-Bulk. Energies are from PBE.

Summary:
Polymorph energy (0 for the lowest one) ... 0.0000 eV per atom
Raw total energy ... -3.8563 eV/atom

```
data_BaAcInGe
_chemical_formula_sum 'Ba2 Ac2 In2 Ge2'
_space_group_name_H-M_alt 'A m m 2'
_space_group_IT_number 38
_cell_length_a 4.5054
_cell_length_b 4.9545
_cell_length_c 12.5917
_cell_angle_alpha 90.00
_cell_angle_beta 90.00
_cell_angle_gamma 90.00
loop_
_space_group_symop_operation_xyz
'x,y,z'
'-x,-y,z'
'-x,y,z'
'x,-y,z'
'x,y+1/2,z+1/2'
'-x,-y+1/2,z+1/2'
'-x,y+1/2,z+1/2'
'x,-y+1/2,z+1/2'
loop_
_atom_site_label
_atom_site_type_symbol
_atom_site_fract_x
_atom_site_fract_y
_atom_site_fract_z
Ba1 Ba 0.0000 0.0000 0.0000
Ac1 Ac 0.5000 0.0000 0.7200
In1 In 0.5000 0.0000 0.4178
Ge1 Ge 0.0000 0.0000 0.2752
```


Here is an optimized crystal structure of BaAcInGe from Alexandria via LeMat-Bulk. Energies are from PBE.

Summary:
Polymorph energy (0 for the lowest one) ... 0.1403 eV per atom
Raw total energy ... -3.7160 eV/atom

```
data_BaAcInGe
_chemical_formula_sum 'Ba4 Ac4 In4 Ge4'
_space_group_name_H-M_alt 'F -4 3 m'
_space_group_IT_number 216
_space_group_name_Hall 'F -4 2 3'
_cell_length_a 8.1546
_cell_length_b 8.1546
_cell_length_c 8.1546
_cell_angle_alpha 90.00
_cell_angle_beta 90.00
_cell_angle_gamma 90.00
loop_
_atom_site_label
_atom_site_type_symbol
_atom_site_fract_x
_atom_site_fract_y
_atom_site_fract_z
Ba1 Ba 0.0000 0.0000 0.0000
Ac1 Ac 0.0000 0.0000 0.5000
In1 In 0.2500 0.2500 0.2500
Ge1 Ge 0.2500 0.2500 0.7500
```


Here is an optimized crystal structure of BaLiAcGe from Alexandria via LeMat-Bulk. Energies are from PBE.

Summary:
Raw total energy ... -3.4043 eV/atom

```
data_BaLiAcGe
_chemical_formula_sum 'Ba4 Li4 Ac4 Ge4'
_space_group_name_H-M_alt 'F -4 3 m'
_space_group_IT_number 216
_space_group_name_Hall 'F -4 2 3'
_cell_length_a 8.0284
_cell_length_b 8.0284
_cell_length_c 8.0284
_cell_angle_alpha 90.00
_cell_angle_beta 90.00
_cell_angle_gamma 90.00
loop_
_atom_site_label
_atom_site_type_symbol
_atom_site_fract_x
_atom_site_fract_y
_atom_site_fract_z
Ba1 Ba 0.0000 0.0000 0.0000
Li1 Li 0.2500 0.2500 0.7500
Ac1 Ac 0.0000 0.0000 0.5000
Ge1 Ge 0.2500 0.2500 0.2500
```


Here is an optimized crystal structure of BaLi2AcGe2 from Alexandria via LeMat-Bulk. Energies are from PBE.

Summary:
Raw total energy ... -3.6857 eV/atom

```
data_BaLi2AcGe2
_chemical_formula_sum 'Ba1 Li2 Ac1 Ge2'
_space_group_name_H-M_alt 'P -3 m 1'
_space_group_IT_number 164
_space_group_name_Hall '-P 3 2"'
_cell_length_a 4.7714
_cell_length_b 4.7714
_cell_length_c 8.4865
_cell_angle_alpha 90.00
_cell_angle_beta 90.00
_cell_angle_gamma 120.00
loop_
_atom_site_label
_atom_site_type_symbol
_atom_site_fract_x
_atom_site_fract_y
_atom_site_fract_z
Ba1 Ba 0.0000 0.0000 0.0000
Li1 Li 0.3333 0.6667 0.2783
Ac1 Ac 0.0000 0.0000 0.5000
Ge1 Ge 0.3333 0.6667 0.7174
```


Here is an optimized crystal structure of BaAcMgGe from Alexandria via LeMat-Bulk. Energies are from PBE.

Summary:
Raw total energy ... -3.2886 eV/atom

```
data_BaAcMgGe
_chemical_formula_sum 'Ba4 Ac4 Mg4 Ge4'
_space_group_name_H-M_alt 'F -4 3 m'
_space_group_IT_number 216
_space_group_name_Hall 'F -4 2 3'
_cell_length_a 8.1048
_cell_length_b 8.1048
_cell_length_c 8.1048
_cell_angle_alpha 90.00
_cell_angle_beta 90.00
_cell_angle_gamma 90.00
loop_
_atom_site_label
_atom_site_type_symbol
_atom_site_fract_x
_atom_site_fract_y
_atom_site_fract_z
Ba1 Ba 0.0000 0.0000 0.0000
Ac1 Ac 0.0000 0.0000 0.5000
Mg1 Mg 0.2500 0.2500 0.7500
Ge1 Ge 0.2500 0.2500 0.2500
```


Here is an optimized crystal structure of BaAc2GeN4 from Alexandria via LeMat-Bulk. Energies are from PBE.

Summary:
Raw total energy ... -6.7389 eV/atom
Formation energy from raw total energies ... -731.5 meV per atom

```
data_BaAc2GeN4
_chemical_formula_sum 'Ba4 Ac8 Ge4 N16'
_space_group_name_H-M_alt 'C m c m'
_space_group_IT_number 63
_space_group_name_Hall '-C 2c 2'
_cell_length_a 3.7634
_cell_length_b 13.0987
_cell_length_c 12.7386
_cell_angle_alpha 90.00
_cell_angle_beta 90.00
_cell_angle_gamma 90.00
loop_
_atom_site_label
_atom_site_type_symbol
_atom_site_fract_x
_atom_site_fract_y
_atom_site_fract_z
Ba1 Ba 0.0000 0.0895 0.2500
Ac1 Ac 0.0000 0.3698 0.0436
Ge1 Ge 0.0000 0.1900 0.7500
N1 N 0.0000 0.0000 0.0000
N2 N 0.0000 0.2644 0.6277
N3 N 0.0000 0.4008 0.2500
```


Here is an optimized crystal structure of BaAc2GeO5 from Alexandria via LeMat-Bulk. Energies are from PBE.

Summary:
Raw total energy ... -6.8990 eV/atom
Formation energy from raw total energies ... -2504.7 meV per atom

```
data_BaAc2GeO5
_chemical_formula_sum 'Ba4 Ac8 Ge4 O20'
_space_group_name_H-M_alt 'I 4/m c m'
_space_group_IT_number 140
_space_group_name_Hall '-I 4 2c'
_cell_length_a 7.2003
_cell_length_b 7.2003
_cell_length_c 12.5603
_cell_angle_alpha 90.00
_cell_angle_beta 90.00
_cell_angle_gamma 90.00
loop_
_atom_site_label
_atom_site_type_symbol
_atom_site_fract_x
_atom_site_fract_y
_atom_site_fract_z
Ba1 Ba 0.0000 0.0000 0.2500
Ac1 Ac 0.1737 0.3263 0.0000
Ge1 Ge 0.0000 0.5000 0.2500
O1 O 0.0000 0.0000 0.0000
O2 O 0.1488 0.3512 0.3719
```